#1
Below is crystalline Y2TlAs at its relaxed geometry, with properties calculated at the PBE-GGA level.

Properties
Magnetic moment: 0.00 μB/f.u.
Space-group type: C2/m (12)

```
data_Y2TlAs
_space_group_name_H-M_alt 'P 1'
_space_group_IT_number 1
_cell_length_a 4.0104
_cell_length_b 4.0104
_cell_length_c 8.2521
_cell_angle_alpha 76.03
_cell_angle_beta 76.03
_cell_angle_gamma 59.93
loop_
_space_group_symop_operation_xyz
'x,y,z'
loop_
_atom_site_label
_atom_site_fract_x
_atom_site_fract_y
_atom_site_fract_z
Y1 0.0136 0.0136 0.9611
Y2 0.4864 0.4864 0.5389
Tl1 0.2500 0.2500 0.2500
As1 0.7500 0.7500 0.7500
```



#2
Below is crystalline Y2TlAs at its relaxed geometry, with properties calculated at the PBE-GGA level.

Properties
Magnetic moment: 0.00 μB/f.u.
Space-group type: Imm2 (44)

```
data_Y2TlAs
_space_group_name_H-M_alt 'P 1'
_space_group_IT_number 1
_cell_length_a 6.7376
_cell_length_b 6.7376
_cell_length_c 6.7376
_cell_angle_alpha 146.94
_cell_angle_beta 139.84
_cell_angle_gamma 52.96
loop_
_space_group_symop_operation_xyz
'x,y,z'
loop_
_atom_site_label
_atom_site_fract_x
_atom_site_fract_y
_atom_site_fract_z
Y1 0.9850 0.9850 0.0000
Y2 0.7114 0.2114 0.5000
Tl1 0.2857 0.7857 0.5000
As1 0.5178 0.5178 0.0000
```



#3
Below is crystalline Y2TlAs at its relaxed geometry, with properties calculated at the PBE-GGA level.

Properties
Magnetic moment: 0.00 μB/f.u.
Space-group type: Cmmm (65)

```
data_Y2TlAs
_space_group_name_H-M_alt 'P 1'
_space_group_IT_number 1
_cell_length_a 3.5676
_cell_length_b 3.5676
_cell_length_c 8.2248
_cell_angle_alpha 90.00
_cell_angle_beta 90.00
_cell_angle_gamma 100.41
loop_
_space_group_symop_operation_xyz
'x,y,z'
loop_
_atom_site_label
_atom_site_fract_x
_atom_site_fract_y
_atom_site_fract_z
Y1 0.0000 0.0000 0.0307
Y2 0.0000 0.0000 0.4693
Tl1 0.5000 0.5000 0.7500
As1 0.5000 0.5000 0.2500
```



#4
Below is crystalline Y2TlAs at its relaxed geometry, with properties calculated at the PBE-GGA level.

Properties
Magnetic moment: 0.00 μB/f.u.
Space-group type: Fm-3m (225)

```
data_Y2TlAs
_space_group_name_H-M_alt 'P 1'
_space_group_IT_number 1
_cell_length_a 5.2407
_cell_length_b 5.2407
_cell_length_c 5.2407
_cell_angle_alpha 60.00
_cell_angle_beta 60.00
_cell_angle_gamma 60.00
loop_
_space_group_symop_operation_xyz
'x,y,z'
loop_
_atom_site_label
_atom_site_fract_x
_atom_site_fract_y
_atom_site_fract_z
Y1 0.2500 0.2500 0.2500
Y2 0.7500 0.7500 0.7500
Tl1 0.5000 0.5000 0.5000
As1 0.0000 0.0000 0.0000
```



#1 has the most favorable energy; the next structure is 20.7 kJ/mol of atoms above.



#1
Below is crystalline YTl2As2 at its relaxed geometry, with properties calculated at the PBE-GGA level.

Properties
Magnetic moment: 0.00 μB/f.u.
Space-group type: P4/mbm (127)

```
data_YTl2As2
_space_group_name_H-M_alt 'P 1'
_space_group_IT_number 1
_cell_length_a 7.3477
_cell_length_b 7.3477
_cell_length_c 4.9916
_cell_angle_alpha 90.00
_cell_angle_beta 90.00
_cell_angle_gamma 90.00
loop_
_space_group_symop_operation_xyz
'x,y,z'
loop_
_atom_site_label
_atom_site_fract_x
_atom_site_fract_y
_atom_site_fract_z
Y1 0.0000 0.0000 0.0000
Y2 0.5000 0.5000 0.0000
Tl1 0.1941 0.6941 0.5000
Tl2 0.6941 0.8059 0.5000
Tl3 0.8059 0.3059 0.5000
Tl4 0.3059 0.1941 0.5000
As1 0.3796 0.8796 0.0000
As2 0.8796 0.6204 0.0000
As3 0.6204 0.1204 0.0000
As4 0.1204 0.3796 0.0000
```



#2
Below is crystalline YTl2As2 at its relaxed geometry, with properties calculated at the PBE-GGA level.

Properties
Magnetic moment: 0.00 μB/f.u.
Space-group type: I4/mmm (139)

```
data_YTl2As2
_space_group_name_H-M_alt 'P 1'
_space_group_IT_number 1
_cell_length_a 3.9162
_cell_length_b 3.9162
_cell_length_c 9.0564
_cell_angle_alpha 77.51
_cell_angle_beta 77.51
_cell_angle_gamma 90.00
loop_
_space_group_symop_operation_xyz
'x,y,z'
loop_
_atom_site_label
_atom_site_fract_x
_atom_site_fract_y
_atom_site_fract_z
Y1 0.0000 0.0000 0.0000
Tl1 0.3947 0.3947 0.2106
Tl2 0.6053 0.6053 0.7894
As1 0.7500 0.2500 0.5000
As2 0.2500 0.7500 0.5000
```



#1 has the most favorable energy; the next structure is 40.0 kJ/mol of atoms above.



#1
Below is crystalline YTl3As at its relaxed geometry, with properties calculated at the PBE-GGA level.

Properties
Magnetic moment: 0.00 μB/f.u.
Space-group type: Pm-3m (221)

```
data_YTl3As
_space_group_name_H-M_alt 'P 1'
_space_group_IT_number 1
_cell_length_a 5.4476
_cell_length_b 5.4476
_cell_length_c 5.4476
_cell_angle_alpha 90.00
_cell_angle_beta 90.00
_cell_angle_gamma 90.00
loop_
_space_group_symop_operation_xyz
'x,y,z'
loop_
_atom_site_label
_atom_site_fract_x
_atom_site_fract_y
_atom_site_fract_z
Y1 0.5000 0.5000 0.5000
Tl1 0.0000 0.5000 0.0000
Tl2 0.0000 0.0000 0.5000
Tl3 0.5000 0.0000 0.0000
As1 0.0000 0.0000 0.0000
```



#2
Below is crystalline YTl3As at its relaxed geometry, with properties calculated at the PBE-GGA level.

Properties
Magnetic moment: 0.00 μB/f.u.
Space-group type: Pm-3m (221)

```
data_YTl3As
_space_group_name_H-M_alt 'P 1'
_space_group_IT_number 1
_cell_length_a 5.8487
_cell_length_b 5.8487
_cell_length_c 5.8487
_cell_angle_alpha 90.00
_cell_angle_beta 90.00
_cell_angle_gamma 90.00
loop_
_space_group_symop_operation_xyz
'x,y,z'
loop_
_atom_site_label
_atom_site_fract_x
_atom_site_fract_y
_atom_site_fract_z
Y1 0.0000 0.0000 0.0000
Tl1 0.0000 0.5000 0.0000
Tl2 0.0000 0.0000 0.5000
Tl3 0.5000 0.0000 0.0000
As1 0.5000 0.5000 0.5000
```



#1 has the most favorable energy; the next structure is 34.2 kJ/mol of atoms above.



#1
Below is crystalline TlZnAs2 at its relaxed geometry, with properties calculated at the PBE-GGA level.

Properties
Magnetic moment: 0.00 μB/f.u.
Space-group type: P4/mmm (123)

```
data_TlZnAs2
_space_group_name_H-M_alt 'P 1'
_space_group_IT_number 1
_cell_length_a 5.7914
_cell_length_b 3.9466
_cell_length_c 3.9466
_cell_angle_alpha 90.00
_cell_angle_beta 90.00
_cell_angle_gamma 90.00
loop_
_space_group_symop_operation_xyz
'x,y,z'
loop_
_atom_site_label
_atom_site_fract_x
_atom_site_fract_y
_atom_site_fract_z
As1 0.0000 0.0000 0.0000
As2 0.0000 0.5000 0.5000
Tl1 0.5000 0.5000 0.0000
Zn1 0.5000 0.0000 0.5000
```



#2
Below is crystalline TlZnAs2 at its relaxed geometry, with properties calculated at the PBE-GGA level.

Properties
Magnetic moment: 0.00 μB/f.u.
Space-group type: R-3m (166)

```
data_TlZnAs2
_space_group_name_H-M_alt 'P 1'
_space_group_IT_number 1
_cell_length_a 9.9619
_cell_length_b 9.9619
_cell_length_c 9.9619
_cell_angle_alpha 18.56
_cell_angle_beta 18.56
_cell_angle_gamma 18.56
loop_
_space_group_symop_operation_xyz
'x,y,z'
loop_
_atom_site_label
_atom_site_fract_x
_atom_site_fract_y
_atom_site_fract_z
As1 0.0168 0.0168 0.0168
As2 0.4832 0.4832 0.4832
Tl1 0.2500 0.2500 0.2500
Zn1 0.7500 0.7500 0.7500
```



#2 has the most favorable energy; the next structure is 13.5 kJ/mol of atoms above.



#1
Below is crystalline TlZnAs2 at its relaxed geometry, with properties calculated at the PBE-GGA level.

Properties
Magnetic moment: 0.00 μB/f.u.
Space-group type: Cmmm (65)

```
data_TlZnAs2
_space_group_name_H-M_alt 'P 1'
_space_group_IT_number 1
_cell_length_a 3.1092
_cell_length_b 3.1092
_cell_length_c 9.3561
_cell_angle_alpha 90.00
_cell_angle_beta 90.00
_cell_angle_gamma 104.16
loop_
_space_group_symop_operation_xyz
'x,y,z'
loop_
_atom_site_label
_atom_site_fract_x
_atom_site_fract_y
_atom_site_fract_z
As1 0.0000 0.0000 0.9476
As2 0.0000 0.0000 0.5524
Tl1 0.5000 0.5000 0.2500
Zn1 0.5000 0.5000 0.7500
```



#2
Below is crystalline TlZnAs2 at its relaxed geometry, with properties calculated at the PBE-GGA level.

Properties
Magnetic moment: 0.00 μB/f.u.
Space-group type: Cmmm (65)

```
data_TlZnAs2
_space_group_name_H-M_alt 'P 1'
_space_group_IT_number 1
_cell_length_a 6.1084
_cell_length_b 6.1084
_cell_length_c 2.9668
_cell_angle_alpha 90.00
_cell_angle_beta 90.00
_cell_angle_gamma 126.16
loop_
_space_group_symop_operation_xyz
'x,y,z'
loop_
_atom_site_label
_atom_site_fract_x
_atom_site_fract_y
_atom_site_fract_z
As1 0.0000 0.0000 0.0000
As2 0.5000 0.5000 0.0000
Tl1 0.5000 0.0000 0.5000
Zn1 0.0000 0.5000 0.5000
```



#3
Below is crystalline TlZnAs2 at its relaxed geometry, with properties calculated at the PBE-GGA level.

Properties
Magnetic moment: 0.00 μB/f.u.
Space-group type: P4mm (99)

```
data_TlZnAs2
_space_group_name_H-M_alt 'P 1'
_space_group_IT_number 1
_cell_length_a 3.5208
_cell_length_b 3.5208
_cell_length_c 7.4640
_cell_angle_alpha 90.00
_cell_angle_beta 90.00
_cell_angle_gamma 90.00
loop_
_space_group_symop_operation_xyz
'x,y,z'
loop_
_atom_site_label
_atom_site_fract_x
_atom_site_fract_y
_atom_site_fract_z
As1 0.0000 0.0000 0.0170
As2 0.5000 0.5000 0.1614
Tl1 0.0000 0.0000 0.5302
Zn1 0.5000 0.5000 0.7914
```



#3 has the most favorable energy; the next structure is 3.6 kJ/mol of atoms above.



#1
Below is crystalline TlZnAs2 at its relaxed geometry, with properties calculated at the PBE-GGA level.

Properties
Magnetic moment: 0.00 μB/f.u.
Space-group type: C2/m (12)

```
data_TlZnAs2
_space_group_name_H-M_alt 'P 1'
_space_group_IT_number 1
_cell_length_a 5.0495
_cell_length_b 5.0495
_cell_length_c 5.9759
_cell_angle_alpha 74.68
_cell_angle_beta 74.68
_cell_angle_gamma 41.39
loop_
_space_group_symop_operation_xyz
'x,y,z'
loop_
_atom_site_label
_atom_site_fract_x
_atom_site_fract_y
_atom_site_fract_z
As1 0.9733 0.9733 0.1069
As2 0.5267 0.5267 0.3931
Tl1 0.7500 0.7500 0.7500
Zn1 0.2500 0.2500 0.2500
```



#2
Below is crystalline TlZnAs2 at its relaxed geometry, with properties calculated at the PBE-GGA level.

Properties
Magnetic moment: 0.00 μB/f.u.
Space-group type: I-42d (122)

```
data_TlZnAs2
_space_group_name_H-M_alt 'P 1'
_space_group_IT_number 1
_cell_length_a 5.8736
_cell_length_b 5.8736
_cell_length_c 7.4999
_cell_angle_alpha 66.95
_cell_angle_beta 66.95
_cell_angle_gamma 90.00
loop_
_space_group_symop_operation_xyz
'x,y,z'
loop_
_atom_site_label
_atom_site_fract_x
_atom_site_fract_y
_atom_site_fract_z
Zn1 0.5000 0.5000 0.0000
Zn2 0.2500 0.7500 0.5000
Tl1 0.0000 0.0000 0.0000
Tl2 0.7500 0.2500 0.5000
As1 0.5853 0.1250 0.2500
As2 0.1647 0.6250 0.2500
As3 0.3750 0.4147 0.7500
As4 0.8750 0.8353 0.7500
```



#2 has the most favorable energy; the next structure is 3.0 kJ/mol of atoms above.